FeH6C2N2O4: relaxed, GGA+U.

Structure (POSCAR):
```
FeH6C2N2O4
1.0
3.3895 6.9104 0.0713
-3.3895 6.9104 0.0713
0.0000 5.6714 7.1060
Fe H C N O
2 12 4 4 8
direct
0.2449 0.7551 0.2500 Fe
0.7551 0.2449 0.7500 Fe
0.8021 0.9478 0.2365 H
0.0522 0.1979 0.2635 H
0.1979 0.0522 0.7635 H
0.9478 0.8021 0.7365 H
0.7856 0.8128 0.4607 H
0.1872 0.2144 0.0393 H
0.2144 0.1872 0.5393 H
0.8128 0.7856 0.9607 H
0.9097 0.6625 0.3285 H
0.3375 0.0903 0.1715 H
0.0903 0.3375 0.6715 H
0.6625 0.9097 0.8285 H
0.4991 0.3854 0.0854 C
0.6146 0.5009 0.4146 C
0.5009 0.6146 0.9146 C
0.3854 0.4991 0.5854 C
0.8940 0.8063 0.3263 N
0.1937 0.1060 0.1737 N
0.1060 0.1937 0.6737 N
0.8063 0.8940 0.8263 N
0.3851 0.3982 0.2496 O
0.6018 0.6149 0.2504 O
0.6149 0.6018 0.7504 O
0.3982 0.3851 0.7496 O
0.6144 0.1994 0.0455 O
0.8006 0.3856 0.4545 O
0.3856 0.8006 0.9545 O
0.1994 0.6144 0.5455 O
```

Values from the calculation:
E: -6.210 eV per atom
Magnetic moment: 4.00 μB/f.u.
SG: C2/c, No. 15
Crystal system: monoclinic